# 1
## Mg5SnRh6 (PBE-GGA)

Data for an optimized crystal structure of Mg5SnRh6.

CIF file:
```
data_Mg5SnRh6
_symmetry_space_group_name_H-M 'C m m m'
_symmetry_Int_Tables_number 65
_symmetry_space_group_name_Hall '-C 2 2'
_cell_length_a 4.4367
_cell_length_b 13.2789
_cell_length_c 6.2818
_cell_angle_alpha 90.00
_cell_angle_beta 90.00
_cell_angle_gamma 90.00
loop_
_atom_site_label
_atom_site_fract_x
_atom_site_fract_y
_atom_site_fract_z
Mg1 0.0000 0.0000 0.0000
Mg2 0.0000 0.3300 0.5000
Mg3 0.0000 0.3336 0.0000
Sn1 0.0000 0.0000 0.5000
Rh1 0.0000 0.1659 0.2488
Rh2 0.0000 0.5000 0.2511
```

Values from the calculation:
formation enthalpy at 0 K: -568 meV per atom

---

# 2
## MgSn5Rh3 (PBE-GGA)

Data for an optimized crystal structure of MgSn5Rh3.

CIF file:
```
data_MgSn5Rh3
_symmetry_space_group_name_H-M 'C 1 2/m 1'
_symmetry_Int_Tables_number 12
_cell_length_a 11.5209
_cell_length_b 9.2017
_cell_length_c 9.8064
_cell_angle_alpha 90.00
_cell_angle_beta 123.32
_cell_angle_gamma 90.00
loop_
_symmetry_equiv_pos_as_xyz
'x,y,z'
'-x,-y,-z'
'-x,y,-z'
'x,-y,z'
'x+1/2,y+1/2,z'
'-x+1/2,-y+1/2,-z'
'-x+1/2,y+1/2,-z'
'x+1/2,-y+1/2,z'
loop_
_atom_site_label
_atom_site_fract_x
_atom_site_fract_y
_atom_site_fract_z
Mg1 0.0932 0.0000 0.3123
Sn1 0.0000 0.2833 0.0000
Sn2 0.0741 0.5000 0.3654
Sn3 0.1642 0.2201 0.6558
Sn4 0.2303 0.0000 0.0071
Rh1 0.0000 0.0000 0.0000
Rh2 0.0000 0.0000 0.5000
Rh3 0.1709 0.5000 0.1763
Rh4 0.1749 0.5000 0.6831
```

Values from the calculation:
formation enthalpy at 0 K: -292 meV per atom

---

# 3
## MgSn2Rh (PBE-GGA)

Data for an optimized crystal structure of MgSn2Rh.

CIF file:
```
data_MgSn2Rh
_symmetry_space_group_name_H-M 'R 3 m'
_symmetry_Int_Tables_number 160
_symmetry_space_group_name_Hall 'R 3 -2"'
_cell_length_a 4.4983
_cell_length_b 4.4983
_cell_length_c 14.9188
_cell_angle_alpha 90.00
_cell_angle_beta 90.00
_cell_angle_gamma 120.00
loop_
_atom_site_label
_atom_site_fract_x
_atom_site_fract_y
_atom_site_fract_z
Mg1 0.0000 0.0000 0.0000
Sn1 0.0000 0.0000 0.5684
Sn2 0.0000 0.0000 0.7781
Rh1 0.0000 0.0000 0.1810
```

Values from the calculation:
formation enthalpy at 0 K: -333 meV per atom

---

# 4
## MgSn2Rh (PBE-GGA)

Data for an optimized crystal structure of MgSn2Rh.

CIF file:
```
data_MgSn2Rh
_symmetry_space_group_name_H-M 'P 4/m m m'
_symmetry_Int_Tables_number 123
_symmetry_space_group_name_Hall '-P 4 2'
_cell_length_a 3.2621
_cell_length_b 3.2621
_cell_length_c 7.7886
_cell_angle_alpha 90.00
_cell_angle_beta 90.00
_cell_angle_gamma 90.00
loop_
_atom_site_label
_atom_site_fract_x
_atom_site_fract_y
_atom_site_fract_z
Mg1 0.0000 0.0000 0.0000
Sn1 0.5000 0.5000 0.2888
Rh1 0.0000 0.0000 0.5000
```

Values from the calculation:
formation enthalpy at 0 K: -256 meV per atom

---

# 5
## Mg3SnRh (PBE-GGA)

Data for an optimized crystal structure of Mg3SnRh.

CIF file:
```
data_Mg3SnRh
_symmetry_space_group_name_H-M 'C m c m'
_symmetry_Int_Tables_number 63
_symmetry_space_group_name_Hall '-C 2c 2'
_cell_length_a 4.4660
_cell_length_b 9.9932
_cell_length_c 8.8998
_cell_angle_alpha 90.00
_cell_angle_beta 90.00
_cell_angle_gamma 90.00
loop_
_atom_site_label
_atom_site_fract_x
_atom_site_fract_y
_atom_site_fract_z
Mg1 0.0000 0.0823 0.2500
Mg2 0.0000 0.2018 0.5885
Sn1 0.0000 0.5000 0.0000
Rh1 0.0000 0.3560 0.2500
```

Values from the calculation:
formation enthalpy at 0 K: -391 meV per atom
energy relative to the lowest polymorph listed for this composition: 0.000 eV/atom

---

# 6
## SrMgSnRh (PBE-GGA)

Data for an optimized crystal structure of SrMgSnRh.

CIF file:
```
data_SrMgSnRh
_symmetry_space_group_name_H-M 'R 3 m'
_symmetry_Int_Tables_number 160
_symmetry_space_group_name_Hall 'R 3 -2"'
_cell_length_a 4.6480
_cell_length_b 4.6480
_cell_length_c 16.8597
_cell_angle_alpha 90.00
_cell_angle_beta 90.00
_cell_angle_gamma 120.00
loop_
_atom_site_label
_atom_site_fract_x
_atom_site_fract_y
_atom_site_fract_z
Sr1 0.0000 0.0000 0.0000
Mg1 0.0000 0.0000 0.4706
Sn1 0.0000 0.0000 0.2015
Rh1 0.0000 0.0000 0.8186
```

Values from the calculation:
formation enthalpy at 0 K: -482 meV per atom

---

# 7
## SrMg2SnRh2 (PBE-GGA)

Data for an optimized crystal structure of SrMg2SnRh2.

CIF file:
```
data_SrMg2SnRh2
_symmetry_space_group_name_H-M 'P 4/m m m'
_symmetry_Int_Tables_number 123
_symmetry_space_group_name_Hall '-P 4 2'
_cell_length_a 4.9589
_cell_length_b 4.9589
_cell_length_c 6.3479
_cell_angle_alpha 90.00
_cell_angle_beta 90.00
_cell_angle_gamma 90.00
loop_
_atom_site_label
_atom_site_fract_x
_atom_site_fract_y
_atom_site_fract_z
Sr1 0.0000 0.0000 0.0000
Mg1 0.5000 0.5000 0.2757
Sn1 0.0000 0.0000 0.5000
Rh1 0.0000 0.5000 0.5000
```

Values from the calculation:
formation enthalpy at 0 K: -165 meV per atom

---

# 8
## SrMg2SnRh (PBE-GGA)

Data for an optimized crystal structure of SrMg2SnRh.

CIF file:
```
data_SrMg2SnRh
_symmetry_space_group_name_H-M 'P 4/m m m'
_symmetry_Int_Tables_number 123
_symmetry_space_group_name_Hall '-P 4 2'
_cell_length_a 5.0405
_cell_length_b 5.0405
_cell_length_c 5.1425
_cell_angle_alpha 90.00
_cell_angle_beta 90.00
_cell_angle_gamma 90.00
loop_
_atom_site_label
_atom_site_fract_x
_atom_site_fract_y
_atom_site_fract_z
Sr1 0.0000 0.0000 0.0000
Mg1 0.0000 0.5000 0.5000
Sn1 0.5000 0.5000 0.0000
Rh1 0.5000 0.5000 0.5000
```

Values from the calculation:
formation enthalpy at 0 K: -386 meV per atom

---

Number 1: total moment 0.000 μB/atom, Fermi-level density of states 10.9 states/eV/cell. Number 2: total moment 0.000 μB/atom, Fermi-level density of states 17.3 states/eV/cell. Number 3: total moment 0.000 μB/atom, Fermi-level density of states 4.3 states/eV/cell. Number 4: total moment 0.000 μB/atom, Fermi-level density of states 1.9 states/eV/cell. Number 5: total moment 0.000 μB/atom, Fermi-level density of states 8.3 states/eV/cell. Number 6: total moment 0.000 μB/atom, Fermi-level density of states 4.1 states/eV/cell. Number 7: total moment 0.000 μB/atom, Fermi-level density of states 6.7 states/eV/cell. Number 8: total moment 0.000 μB/atom, Fermi-level density of states 4.3 states/eV/cell.